No. 1
Compound: DyZn2Ga
Source: Alexandria via LeMat-Bulk
Functional: PBE-GGA
Structure: optimized geometry

Values from the calculation:
DFT total energy = -2.8891 eV/atom
energy of formation from the pure elements = -0.345 eV/atom

Lattice parameters (Å, degrees): 4.176 4.176 4.423 90.00 90.00 90.00
Element x y z (fractional)
Dy (0.000, 0.000, 0.000)
Zn (0.000, 0.500, 0.500)
Zn (0.500, 0.000, 0.500)
Ga (0.500, 0.500, 0.000)

---

No. 2
Compound: Dy5ZnGa4
Source: Alexandria via LeMat-Bulk
Functional: PBE-GGA
Structure: optimized geometry

Values from the calculation:
DFT total energy = -4.1789 eV/atom
energy of formation from the pure elements = -0.540 eV/atom

Lattice parameters (Å, degrees): 3.571 3.571 17.840 90.00 90.00 90.00
Element x y z (fractional)
Dy (0.000, 0.000, 0.000)
Dy (0.000, 0.000, 0.200)
Dy (0.000, 0.000, 0.401)
Dy (0.000, 0.000, 0.599)
Dy (0.000, 0.000, 0.800)
Zn (0.500, 0.500, 0.500)
Ga (0.500, 0.500, 0.100)
Ga (0.500, 0.500, 0.302)
Ga (0.500, 0.500, 0.698)
Ga (0.500, 0.500, 0.900)

---

No. 3
Compound: DyZn10Ga2
Source: Alexandria via LeMat-Bulk
Functional: PBE-GGA
Structure: optimized geometry

Values from the calculation:
DFT total energy = -1.9281 eV/atom
energy of formation from the pure elements = -0.128 eV/atom

Lattice parameters (Å, degrees): 8.734 6.833 6.724 80.21 50.44 49.35
Element x y z (fractional)
Dy (0.000, 0.000, 0.000)
Zn (0.000, 0.500, 0.000)
Zn (0.003, 0.354, 0.646)
Zn (0.283, 0.497, 0.503)
Zn (0.354, 0.003, 0.997)
Zn (0.497, 0.283, 0.717)
Zn (0.500, 0.000, 0.500)
Zn (0.503, 0.717, 0.283)
Zn (0.646, 0.997, 0.003)
Zn (0.717, 0.503, 0.497)
Zn (0.997, 0.646, 0.354)
Ga (0.000, 0.000, 0.500)
Ga (0.500, 0.500, 0.000)

---

No. 4
Compound: Dy5Zn4Ga
Source: Alexandria via LeMat-Bulk
Functional: PBE-GGA
Structure: optimized geometry

Values from the calculation:
DFT total energy = -3.5039 eV/atom
energy of formation from the pure elements = -0.391 eV/atom

Lattice parameters (Å, degrees): 3.564 3.564 17.910 90.00 90.00 90.00
Element x y z (fractional)
Dy (0.000, 0.000, 0.000)
Dy (0.000, 0.000, 0.199)
Dy (0.000, 0.000, 0.399)
Dy (0.000, 0.000, 0.601)
Dy (0.000, 0.000, 0.801)
Zn (0.500, 0.500, 0.100)
Zn (0.500, 0.500, 0.298)
Zn (0.500, 0.500, 0.702)
Zn (0.500, 0.500, 0.900)
Ga (0.500, 0.500, 0.500)

---

No. 5
Compound: Dy2Zn3Ga5
Source: Alexandria via LeMat-Bulk
Functional: PBE-GGA
Structure: optimized geometry

Values from the calculation:
DFT total energy = -3.2255 eV/atom
energy of formation from the pure elements = -0.409 eV/atom

Lattice parameters (Å, degrees): 8.490 8.490 8.490 101.35 92.35 139.64
Element x y z (fractional)
Dy (0.125, 0.248, 0.373)
Dy (0.375, 0.748, 0.122)
Dy (0.625, 0.252, 0.878)
Dy (0.875, 0.752, 0.627)
Zn (0.127, 0.865, 0.992)
Zn (0.250, 0.750, 0.500)
Zn (0.373, 0.365, 0.738)
Zn (0.627, 0.635, 0.262)
Zn (0.750, 0.250, 0.500)
Zn (0.873, 0.135, 0.008)
Ga (0.004, 0.750, 0.254)
Ga (0.120, 0.643, 0.763)
Ga (0.250, 0.250, 0.000)
Ga (0.380, 0.143, 0.523)
Ga (0.496, 0.750, 0.746)
Ga (0.504, 0.250, 0.254)
Ga (0.620, 0.857, 0.477)
Ga (0.750, 0.750, 0.000)
Ga (0.880, 0.357, 0.237)
Ga (0.996, 0.250, 0.746)

---

No. 6
Compound: Dy3Zn3Ga8
Source: Alexandria via LeMat-Bulk
Functional: PBE-GGA
Structure: optimized geometry

Values from the calculation:
DFT total energy = -3.4263 eV/atom
energy of formation from the pure elements = -0.438 eV/atom

Lattice parameters (Å, degrees): 8.244 8.244 8.244 150.37 105.70 81.96
Element x y z (fractional)
Dy (0.000, 0.000, 0.000)
Dy (0.313, 0.313, 0.000)
Dy (0.687, 0.687, 0.000)
Zn (0.298, 0.500, 0.798)
Zn (0.500, 0.000, 0.500)
Zn (0.702, 0.500, 0.202)
Ga (0.030, 0.658, 0.373)
Ga (0.141, 0.861, 0.280)
Ga (0.285, 0.658, 0.627)
Ga (0.420, 0.139, 0.280)
Ga (0.580, 0.861, 0.720)
Ga (0.715, 0.342, 0.373)
Ga (0.859, 0.139, 0.720)
Ga (0.970, 0.342, 0.627)

---

No. 7
Compound: DyZnGa3
Source: Alexandria via LeMat-Bulk
Functional: PBE-GGA
Structure: optimized geometry

Values from the calculation:
DFT total energy = -3.2188 eV/atom
energy of formation from the pure elements = -0.227 eV/atom

Lattice parameters (Å, degrees): 5.618 3.079 11.668 90.00 90.00 90.00
Element x y z (fractional)
Dy (0.250, 0.000, 0.194)
Dy (0.750, 0.000, 0.806)
Zn (0.250, 0.500, 0.801)
Zn (0.750, 0.500, 0.199)
Ga (0.000, 0.500, 0.000)
Ga (0.007, 0.500, 0.391)
Ga (0.493, 0.500, 0.391)
Ga (0.500, 0.500, 0.000)
Ga (0.507, 0.500, 0.609)
Ga (0.993, 0.500, 0.609)

---

No. 8
Compound: Dy2Zn5Ga
Source: Alexandria via LeMat-Bulk
Functional: PBE-GGA
Structure: optimized geometry

Values from the calculation:
DFT total energy = -2.7210 eV/atom
energy of formation from the pure elements = -0.396 eV/atom

Lattice parameters (Å, degrees): 8.241 8.241 8.806 90.00 90.00 149.60
Element x y z (fractional)
Dy (0.000, 0.000, 0.000)
Dy (0.000, 0.000, 0.500)
Dy (0.199, 0.801, 0.750)
Dy (0.801, 0.199, 0.250)
Zn (0.188, 0.812, 0.107)
Zn (0.188, 0.812, 0.393)
Zn (0.351, 0.649, 0.024)
Zn (0.351, 0.649, 0.476)
Zn (0.399, 0.601, 0.750)
Zn (0.601, 0.399, 0.250)
Zn (0.649, 0.351, 0.524)
Zn (0.649, 0.351, 0.976)
Zn (0.812, 0.188, 0.607)
Zn (0.812, 0.188, 0.893)
Ga (0.447, 0.553, 0.250)
Ga (0.553, 0.447, 0.750)

---

No. 9
Compound: DyZnGa2
Source: Alexandria via LeMat-Bulk
Functional: PBE-GGA
Structure: optimized geometry

Values from the calculation:
DFT total energy = -3.4418 eV/atom
energy of formation from the pure elements = -0.459 eV/atom

Lattice parameters (Å, degrees): 4.261 4.261 4.217 90.00 90.00 90.00
Element x y z (fractional)
Dy (0.000, 0.000, 0.000)
Zn (0.500, 0.500, 0.000)
Ga (0.000, 0.500, 0.500)
Ga (0.500, 0.000, 0.500)

---

No. 10
Compound: DyZn3Ga2
Source: Alexandria via LeMat-Bulk
Functional: PBE-GGA
Structure: optimized geometry

Values from the calculation:
E above lowest polymorph = 10.0 meV/atom
DFT total energy = -2.7195 eV/atom
energy of formation from the pure elements = -0.307 eV/atom

Lattice parameters (Å, degrees): 7.990 7.990 7.538 118.11 118.11 31.59
Element x y z (fractional)
Dy (0.134, 0.134, 0.133)
Dy (0.866, 0.866, 0.867)
Zn (0.000, 0.000, 0.338)
Zn (0.000, 0.000, 0.662)
Zn (0.325, 0.325, 0.120)
Zn (0.325, 0.325, 0.531)
Zn (0.675, 0.675, 0.469)
Zn (0.675, 0.675, 0.880)
Ga (0.186, 0.186, 0.686)
Ga (0.500, 0.500, 0.164)
Ga (0.500, 0.500, 0.836)
Ga (0.814, 0.814, 0.314)

---

No. 11
Compound: DyZnGa3
Source: Alexandria via LeMat-Bulk
Functional: PBE-GGA
Structure: optimized geometry

Values from the calculation:
DFT total energy = -3.3805 eV/atom
energy of formation from the pure elements = -0.389 eV/atom

Lattice parameters (Å, degrees): 4.213 4.213 6.111 110.14 110.14 89.91
Element x y z (fractional)
Dy (0.000, 0.000, 0.000)
Zn (0.616, 0.616, 0.231)
Ga (0.249, 0.748, 0.497)
Ga (0.391, 0.391, 0.783)
Ga (0.748, 0.249, 0.497)

---

No. 12
Compound: DyZn2Ga
Source: Alexandria via LeMat-Bulk
Functional: PBE-GGA
Structure: optimized geometry

Values from the calculation:
DFT total energy = -2.9821 eV/atom
energy of formation from the pure elements = -0.438 eV/atom

Lattice parameters (Å, degrees): 8.342 8.342 8.939 90.00 90.00 150.72
Element x y z (fractional)
Dy (0.000, 0.000, 0.000)
Dy (0.000, 0.000, 0.500)
Dy (0.201, 0.799, 0.750)
Dy (0.799, 0.201, 0.250)
Zn (0.190, 0.810, 0.107)
Zn (0.190, 0.810, 0.393)
Zn (0.398, 0.602, 0.750)
Zn (0.450, 0.550, 0.250)
Zn (0.550, 0.450, 0.750)
Zn (0.602, 0.398, 0.250)
Zn (0.810, 0.190, 0.607)
Zn (0.810, 0.190, 0.893)
Ga (0.355, 0.645, 0.027)
Ga (0.355, 0.645, 0.473)
Ga (0.645, 0.355, 0.527)
Ga (0.645, 0.355, 0.973)

---

Number 8 is which compound? Dy2Zn5Ga

---

DFT total energy of number 1 (DyZn2Ga)? -2.8891 eV/atom

---

Among the records above, which one has the lowest energy of formation from the pure elements? Dy5ZnGa4